Ho2CdRu, relaxed, DFT PBE; E_form = -41.04 kJ/mol of atoms; SG = P4/mmm, No. 123; excess energy over the best structure of this formula in the dataset = 0 meV per atom; magnetization = 0.00 μB per atom
1.0
3.445 0.000 0.000
0.000 3.445 0.000
0.000 0.000 7.662
Ru Ho Cd
1 2 1
direct
0.500 0.500 0.000
0.000 0.000 0.785
0.000 0.000 0.215
0.500 0.500 0.500